Density functional theory data (PBEsol) for an optimized crystal structure of Cr2OsBr.

Properties
For the formation energy without anion corrections, the calculation gives 0.759 eV per atom. As for the calculated volume: 18.1 A^3/atom. The offset from the most stable computed form comes out at 0.000 eV/atom.

Cell and atoms, written as extended XYZ:
```
4
Lattice="-0.228 2.805 -0.310 -3.959 0.876 -2.091 -2.964 1.741 4.998" Properties=species:S:1:pos:R:3 pbc="T T T"
Br -3.461 1.309 1.454
Cr -4.921 2.793 3.024
Cr -2.229 2.630 -0.427
Os -0.114 1.403 -0.155
```


Density functional theory data (PBEsol) for an optimized crystal structure of CrOsBr2.

Properties
For the formation energy without anion corrections, the calculation gives 1.176 eV per atom. As for the calculated volume: 16.6 A^3/atom. The offset from the most stable computed form comes out at 0.156 eV/atom.

Cell and atoms, written as extended XYZ:
```
4
Lattice="-1.979 3.979 0.949 -2.645 2.018 -3.096 -4.494 0.207 0.639" Properties=species:S:1:pos:R:3 pbc="T T T"
Br -2.279 1.551 -0.377
Br -6.838 4.653 -1.130
Cr 0.000 0.000 0.000
Os -4.559 3.102 -0.754
```


Density functional theory data (PBEsol) for an optimized crystal structure of CrOsBr2.

Properties
For the formation energy without anion corrections, the calculation gives 1.183 eV per atom. As for the calculated volume: 18.1 A^3/atom. The offset from the most stable computed form comes out at 0.162 eV/atom.

Cell and atoms, written as extended XYZ:
```
4
Lattice="3.714 0.000 0.000 0.000 3.714 0.000 -1.857 -1.857 5.242" Properties=species:S:1:pos:R:3 pbc="T T T"
Br 0.000 0.000 0.000
Br 1.857 0.000 2.621
Cr 1.857 1.857 0.000
Os 0.000 1.857 2.621
```


Density functional theory data (PBEsol) for an optimized crystal structure of CrOs2Br.

Properties
For the formation energy without anion corrections, the calculation gives 0.977 eV per atom. As for the calculated volume: 15.7 A^3/atom. The offset from the most stable computed form comes out at 0.104 eV/atom.

Cell and atoms, written as extended XYZ:
```
4
Lattice="2.777 0.003 0.000 -1.364 2.419 0.000 0.000 0.000 9.347" Properties=species:S:1:pos:R:3 pbc="T T T"
Br 0.000 0.000 4.304
Cr 0.707 1.211 2.247
Os 0.000 0.000 0.151
Os 0.707 1.211 7.320
```


Density functional theory data (PBEsol) for an optimized crystal structure of CrOs2Br.

Properties
For the formation energy without anion corrections, the calculation gives 1.195 eV per atom. As for the calculated volume: 14.4 A^3/atom. The offset from the most stable computed form comes out at 0.322 eV/atom.

Cell and atoms, written as extended XYZ:
```
4
Lattice="-1.252 1.343 -2.224 -2.997 -3.336 -0.328 -2.262 2.630 2.860" Properties=species:S:1:pos:R:3 pbc="T T T"
Br -0.626 0.671 -1.112
Cr -3.255 0.319 0.154
Os -1.498 -1.668 -0.164
Os -1.131 1.315 1.430
```


Density functional theory data (PBEsol) for an optimized crystal structure of CrPOs2Br.

Properties
For the formation energy without anion corrections, the calculation gives 1.393 eV per atom. As for the calculated volume: 19.8 A^3/atom.

Cell and atoms, written as extended XYZ:
```
5
Lattice="4.318 0.000 0.000 0.000 4.318 0.000 0.000 0.000 5.298" Properties=species:S:1:pos:R:3 pbc="T T T"
Cr 2.159 2.159 2.649
Os 0.000 2.159 0.000
Os 2.159 0.000 0.000
Br 0.000 0.000 2.649
P 0.000 0.000 0.000
```


Density functional theory data (PBEsol) for an optimized crystal structure of Cr2PBr.

Properties
For the formation energy without anion corrections, the calculation gives 0.451 eV per atom. As for the calculated volume: 17.5 A^3/atom. The offset from the most stable computed form comes out at 0.306 eV/atom.

Cell and atoms, written as extended XYZ:
```
4
Lattice="3.240 -0.122 -0.132 1.429 4.600 -0.018 1.429 -0.357 4.586" Properties=species:S:1:pos:R:3 pbc="T T T"
Br 3.049 2.060 2.218
Cr 0.714 -0.179 2.293
Cr 0.714 2.300 -0.009
P 1.620 -0.061 -0.066
```


Density functional theory data (PBEsol) for an optimized crystal structure of Cr4PBr.

Properties
For the formation energy without anion corrections, the calculation gives 0.792 eV per atom. As for the calculated volume: 12.8 A^3/atom.

Cell and atoms, written as extended XYZ:
```
6
Lattice="4.770 0.000 0.000 2.385 4.131 0.000 2.385 1.377 3.894" Properties=species:S:1:pos:R:3 pbc="T T T"
Br 0.000 0.000 0.000
Cr 4.770 2.754 0.473
Cr 3.566 3.449 2.439
Cr 4.770 1.364 2.439
Cr 5.973 3.449 2.439
P 2.385 1.377 0.974
```


Density functional theory data (PBEsol) for an optimized crystal structure of Cr2PBr.

Properties
For the formation energy without anion corrections, the calculation gives 0.464 eV per atom. As for the calculated volume: 15.9 A^3/atom. The offset from the most stable computed form comes out at 0.319 eV/atom.

Cell and atoms, written as extended XYZ:
```
4
Lattice="3.124 0.000 0.000 0.000 4.511 0.000 0.000 0.000 4.511" Properties=species:S:1:pos:R:3 pbc="T T T"
Br 1.562 0.000 0.000
Cr 0.000 0.000 2.256
Cr 0.000 2.256 0.000
P 1.562 2.256 2.256
```


Density functional theory data (PBEsol) for an optimized crystal structure of CrP2Br.

Properties
For the formation energy without anion corrections, the calculation gives -0.009 eV per atom. As for the calculated volume: 15.7 A^3/atom.

Cell and atoms, written as extended XYZ:
```
4
Lattice="-1.736 1.706 1.714 0.900 -3.117 4.014 2.900 3.473 -0.518" Properties=species:S:1:pos:R:3 pbc="T T T"
Br 1.032 1.031 2.605
Cr -0.418 -0.706 2.864
P 1.363 -2.101 3.470
P 2.438 2.456 0.025
```


Density functional theory data (PBEsol) for an optimized crystal structure of Cr2PBr.

Properties
For the formation energy without anion corrections, the calculation gives 0.145 eV per atom. As for the calculated volume: 14.2 A^3/atom. The offset from the most stable computed form comes out at 0.000 eV/atom.

Cell and atoms, written as extended XYZ:
```
4
Lattice="3.011 0.000 0.000 0.000 3.011 0.000 0.000 0.000 6.257" Properties=species:S:1:pos:R:3 pbc="T T T"
Br 1.506 1.506 3.129
Cr 0.000 0.000 5.175
Cr 0.000 0.000 1.082
P 1.506 1.506 0.000
```


Density functional theory data (PBEsol) for an optimized crystal structure of CrPSeBr2.

Properties
For the formation energy without anion corrections, the calculation gives 0.447 eV per atom. As for the calculated volume: 23.7 A^3/atom.

Cell and atoms, written as extended XYZ:
```
5
Lattice="-1.957 -3.819 2.410 4.496 -1.713 0.937 0.112 2.574 4.170" Properties=species:S:1:pos:R:3 pbc="T T T"
Cr 0.000 0.000 0.000
Se -0.979 -1.909 1.205
Br 0.056 1.287 2.085
Br 2.248 -0.857 0.468
P 1.326 -1.479 3.758
```


Density functional theory data (PBEsol) for an optimized crystal structure of TiCrP2Br.

Properties
For the formation energy without anion corrections, the calculation gives 1.386 eV per atom. As for the calculated volume: 21.9 A^3/atom.

Cell and atoms, written as extended XYZ:
```
5
Lattice="-0.994 4.401 0.016 -4.078 -0.912 -2.606 -2.538 -0.588 4.178" Properties=species:S:1:pos:R:3 pbc="T T T"
Cr -3.805 1.451 0.794
P -1.269 -0.294 2.089
P -2.039 -0.456 -1.303
Br 0.000 0.000 0.000
Ti -0.497 2.200 0.008
```


Density functional theory data (PBEsol) for an optimized crystal structure of Cr2PbBr.

Properties
For the formation energy without anion corrections, the calculation gives 0.691 eV per atom. As for the calculated volume: 20.5 A^3/atom.

Cell and atoms, written as extended XYZ:
```
4
Lattice="3.236 -0.211 -0.211 0.567 4.996 -0.027 0.567 -0.040 4.996" Properties=species:S:1:pos:R:3 pbc="T T T"
Br 2.185 2.373 2.379
Cr 0.284 -0.020 2.498
Cr 0.284 2.498 -0.013
Pb 1.618 -0.105 -0.106
```